[1]
## PmMg2Hg (PBE-GGA)

Data for PmMg2Hg after structural relaxation.

## Properties
The total DFT energy (no corrections) comes out at -9.20 eV/cell. The calculated density is 6.450 Mg/m³. As for the energy above the lowest structure with this stoichiometry: 0.053 eV per atom. The energy of formation is -0.239 eV per atom. Its calculated volume is 25.4 A^3/atom.

The structure in CIF format:
```
data_PmMg2Hg
_chemical_formula_sum 'Pm1 Mg2 Hg1'
_cell_length_a 4.5439
_cell_length_b 4.5439
_cell_length_c 4.9155
_cell_angle_alpha 90.00
_cell_angle_beta 90.00
_cell_angle_gamma 90.00
_space_group_name_H-M_alt 'P 4/m m m'
_space_group_IT_number 123
_space_group_name_Hall '-P 4 2'
loop_
_atom_site_label
_atom_site_type_symbol
_atom_site_fract_x
_atom_site_fract_y
_atom_site_fract_z
Pm1 Pm 0.0000 0.0000 0.0000
Mg1 Mg 0.0000 0.5000 0.5000
Hg1 Hg 0.5000 0.5000 0.0000
```

[2]
## PmPrMgHg (PBE-GGA)

Data for PmPrMgHg after structural relaxation.

## Properties
The total DFT energy (no corrections) comes out at -49.99 eV/cell. The calculated density is 7.405 Mg/m³. As for the energy above the lowest structure with this stoichiometry: 0.021 eV per atom. The energy of formation is -0.268 eV per atom. Its calculated volume is 28.6 A^3/atom.

The structure in CIF format:
```
data_PmPrMgHg
_chemical_formula_sum 'Pm4 Pr4 Mg4 Hg4'
_cell_length_a 7.7093
_cell_length_b 7.7093
_cell_length_c 7.7093
_cell_angle_alpha 90.00
_cell_angle_beta 90.00
_cell_angle_gamma 90.00
_space_group_name_H-M_alt 'F -4 3 m'
_space_group_IT_number 216
_space_group_name_Hall 'F -4 2 3'
loop_
_atom_site_label
_atom_site_type_symbol
_atom_site_fract_x
_atom_site_fract_y
_atom_site_fract_z
Pm1 Pm 0.0000 0.0000 0.0000
Pr1 Pr 0.0000 0.0000 0.5000
Mg1 Mg 0.2500 0.2500 0.7500
Hg1 Hg 0.2500 0.2500 0.2500
```

[3]
## PmPrMgHg (PBE-GGA)

Data for PmPrMgHg after structural relaxation.

## Properties
The total DFT energy (no corrections) comes out at -12.58 eV/cell. The calculated density is 7.383 Mg/m³. As for the energy above the lowest structure with this stoichiometry: 0.000 eV per atom. The energy of formation is -0.288 eV per atom. Its calculated volume is 28.7 A^3/atom.

The structure in CIF format:
```
data_PmPrMgHg
_chemical_formula_sum 'Pm1 Pr1 Mg1 Hg1'
_cell_length_a 3.8710
_cell_length_b 3.8710
_cell_length_c 7.6666
_cell_angle_alpha 90.00
_cell_angle_beta 90.00
_cell_angle_gamma 90.00
_space_group_name_H-M_alt 'P 4 m m'
_space_group_IT_number 99
_space_group_name_Hall 'P 4 -2'
loop_
_atom_site_label
_atom_site_type_symbol
_atom_site_fract_x
_atom_site_fract_y
_atom_site_fract_z
Pm1 Pm 0.0000 0.0000 0.0000
Pr1 Pr 0.0000 0.0000 0.5029
Mg1 Mg 0.5000 0.5000 0.2471
Hg1 Hg 0.5000 0.5000 0.7615
```

[4]
## PmMgHgPt (PBE-GGA)

Data for PmMgHgPt after structural relaxation.

## Properties
The total DFT energy (no corrections) comes out at -61.41 eV/cell. The calculated density is 10.664 Mg/m³. The energy of formation is -0.666 eV per atom. Its calculated volume is 22.0 A^3/atom.

The structure in CIF format:
```
data_PmMgHgPt
_chemical_formula_sum 'Pm4 Mg4 Hg4 Pt4'
_cell_length_a 7.0601
_cell_length_b 7.0601
_cell_length_c 7.0601
_cell_angle_alpha 90.00
_cell_angle_beta 90.00
_cell_angle_gamma 90.00
_space_group_name_H-M_alt 'F -4 3 m'
_space_group_IT_number 216
_space_group_name_Hall 'F -4 2 3'
loop_
_atom_site_label
_atom_site_type_symbol
_atom_site_fract_x
_atom_site_fract_y
_atom_site_fract_z
Pm1 Pm 0.0000 0.0000 0.0000
Mg1 Mg 0.0000 0.0000 0.5000
Hg1 Hg 0.2500 0.2500 0.2500
Pt1 Pt 0.2500 0.2500 0.7500
```

[5]
## PmPuMgHg (PBE-GGA)

Data for PmPuMgHg after structural relaxation.

## Properties
The total DFT energy (no corrections) comes out at -84.97 eV/cell. The calculated density is 9.247 Mg/m³. The energy of formation is -0.066 eV per atom. Its calculated volume is 27.6 A^3/atom.

The structure in CIF format:
```
data_PmPuMgHg
_chemical_formula_sum 'Pm4 Pu4 Mg4 Hg4'
_cell_length_a 7.6115
_cell_length_b 7.6115
_cell_length_c 7.6115
_cell_angle_alpha 90.00
_cell_angle_beta 90.00
_cell_angle_gamma 90.00
_space_group_name_H-M_alt 'F -4 3 m'
_space_group_IT_number 216
_space_group_name_Hall 'F -4 2 3'
loop_
_atom_site_label
_atom_site_type_symbol
_atom_site_fract_x
_atom_site_fract_y
_atom_site_fract_z
Pm1 Pm 0.0000 0.0000 0.0000
Pu1 Pu 0.0000 0.0000 0.5000
Mg1 Mg 0.2500 0.2500 0.7500
Hg1 Hg 0.2500 0.2500 0.2500
```

[6]
## PmMgHgRh (PBE-GGA)

Data for PmMgHgRh after structural relaxation.

## Properties
The total DFT energy (no corrections) comes out at -62.71 eV/cell. The calculated density is 9.122 Mg/m³. The energy of formation is -0.419 eV per atom. Its calculated volume is 21.5 A^3/atom.

The structure in CIF format:
```
data_PmMgHgRh
_chemical_formula_sum 'Pm4 Mg4 Hg4 Rh4'
_cell_length_a 7.0087
_cell_length_b 7.0087
_cell_length_c 7.0087
_cell_angle_alpha 90.00
_cell_angle_beta 90.00
_cell_angle_gamma 90.00
_space_group_name_H-M_alt 'F -4 3 m'
_space_group_IT_number 216
_space_group_name_Hall 'F -4 2 3'
loop_
_atom_site_label
_atom_site_type_symbol
_atom_site_fract_x
_atom_site_fract_y
_atom_site_fract_z
Pm1 Pm 0.0000 0.0000 0.0000
Mg1 Mg 0.0000 0.0000 0.5000
Hg1 Hg 0.2500 0.2500 0.2500
Rh1 Rh 0.2500 0.2500 0.7500
```

[7]
## PmMgHgRu (PBE-GGA)

Data for PmMgHgRu after structural relaxation.

## Properties
The total DFT energy (no corrections) comes out at -65.02 eV/cell. The calculated density is 9.181 Mg/m³. The energy of formation is -0.083 eV per atom. Its calculated volume is 21.3 A^3/atom.

The structure in CIF format:
```
data_PmMgHgRu
_chemical_formula_sum 'Pm4 Mg4 Hg4 Ru4'
_cell_length_a 6.9846
_cell_length_b 6.9846
_cell_length_c 6.9846
_cell_angle_alpha 90.00
_cell_angle_beta 90.00
_cell_angle_gamma 90.00
_space_group_name_H-M_alt 'F -4 3 m'
_space_group_IT_number 216
_space_group_name_Hall 'F -4 2 3'
loop_
_atom_site_label
_atom_site_type_symbol
_atom_site_fract_x
_atom_site_fract_y
_atom_site_fract_z
Pm1 Pm 0.0000 0.0000 0.0000
Mg1 Mg 0.0000 0.0000 0.5000
Hg1 Hg 0.2500 0.2500 0.2500
Ru1 Ru 0.2500 0.2500 0.7500
```

[8]
## PmSmMgHg (PBE-GGA)

Data for PmSmMgHg after structural relaxation.

## Properties
The total DFT energy (no corrections) comes out at -12.51 eV/cell. The calculated density is 7.733 Mg/m³. As for the energy above the lowest structure with this stoichiometry: 0.000 eV per atom. The energy of formation is -0.287 eV per atom. Its calculated volume is 27.9 A^3/atom.

The structure in CIF format:
```
data_PmSmMgHg
_chemical_formula_sum 'Pm1 Sm1 Mg1 Hg1'
_cell_length_a 3.8428
_cell_length_b 3.8428
_cell_length_c 7.5650
_cell_angle_alpha 90.00
_cell_angle_beta 90.00
_cell_angle_gamma 90.00
_space_group_name_H-M_alt 'P 4 m m'
_space_group_IT_number 99
_space_group_name_Hall 'P 4 -2'
loop_
_atom_site_label
_atom_site_type_symbol
_atom_site_fract_x
_atom_site_fract_y
_atom_site_fract_z
Pm1 Pm 0.0000 0.0000 0.0000
Sm1 Sm 0.0000 0.0000 0.5034
Mg1 Mg 0.5000 0.5000 0.2535
Hg1 Hg 0.5000 0.5000 0.7485
```

[9]
## PmSm2MgHg4 (PBE-GGA)

Data for PmSm2MgHg4 after structural relaxation.

## Properties
The total DFT energy (no corrections) comes out at -61.93 eV/cell. The calculated density is 10.140 Mg/m³. The energy of formation is -0.457 eV per atom. Its calculated volume is 26.0 A^3/atom.

The structure in CIF format:
```
data_PmSm2MgHg4
_chemical_formula_sum 'Pm3 Sm6 Mg3 Hg12'
_cell_length_a 5.2182
_cell_length_b 5.2182
_cell_length_c 26.5080
_cell_angle_alpha 90.00
_cell_angle_beta 90.00
_cell_angle_gamma 120.00
_space_group_name_H-M_alt 'R -3 m'
_space_group_IT_number 166
_space_group_name_Hall '-R 3 2"'
loop_
_atom_site_label
_atom_site_type_symbol
_atom_site_fract_x
_atom_site_fract_y
_atom_site_fract_z
Pm1 Pm 0.0000 0.0000 0.0000
Sm1 Sm 0.0000 0.0000 0.2434
Mg1 Mg 0.0000 0.0000 0.5000
Hg1 Hg 0.0000 0.0000 0.1252
Hg2 Hg 0.0000 0.0000 0.3757
```

[10]
## Pm2SmMgHg4 (PBE-GGA)

Data for Pm2SmMgHg4 after structural relaxation.

## Properties
The total DFT energy (no corrections) comes out at -62.11 eV/cell. The calculated density is 10.053 Mg/m³. The energy of formation is -0.460 eV per atom. Its calculated volume is 26.2 A^3/atom.

The structure in CIF format:
```
data_Pm2SmMgHg4
_chemical_formula_sum 'Pm6 Sm3 Mg3 Hg12'
_cell_length_a 5.2387
_cell_length_b 5.2387
_cell_length_c 26.4170
_cell_angle_alpha 90.00
_cell_angle_beta 90.00
_cell_angle_gamma 120.00
_space_group_name_H-M_alt 'R -3 m'
_space_group_IT_number 166
_space_group_name_Hall '-R 3 2"'
loop_
_atom_site_label
_atom_site_type_symbol
_atom_site_fract_x
_atom_site_fract_y
_atom_site_fract_z
Pm1 Pm 0.0000 0.0000 0.2436
Sm1 Sm 0.0000 0.0000 0.0000
Mg1 Mg 0.0000 0.0000 0.5000
Hg1 Hg 0.0000 0.0000 0.1246
Hg2 Hg 0.0000 0.0000 0.3741
```

[11]
## PmSmMgHg (PBE-GGA)

Data for PmSmMgHg after structural relaxation.

## Properties
The total DFT energy (no corrections) comes out at -49.71 eV/cell. The calculated density is 7.738 Mg/m³. As for the energy above the lowest structure with this stoichiometry: 0.022 eV per atom. The energy of formation is -0.265 eV per atom. Its calculated volume is 27.9 A^3/atom.

The structure in CIF format:
```
data_PmSmMgHg
_chemical_formula_sum 'Pm4 Sm4 Mg4 Hg4'
_cell_length_a 7.6435
_cell_length_b 7.6435
_cell_length_c 7.6435
_cell_angle_alpha 90.00
_cell_angle_beta 90.00
_cell_angle_gamma 90.00
_space_group_name_H-M_alt 'F -4 3 m'
_space_group_IT_number 216
_space_group_name_Hall 'F -4 2 3'
loop_
_atom_site_label
_atom_site_type_symbol
_atom_site_fract_x
_atom_site_fract_y
_atom_site_fract_z
Pm1 Pm 0.0000 0.0000 0.0000
Sm1 Sm 0.0000 0.0000 0.5000
Mg1 Mg 0.2500 0.2500 0.2500
Hg1 Hg 0.2500 0.2500 0.7500
```

[12]
## PmMgSnHg (PBE-GGA)

Data for PmMgSnHg after structural relaxation.

## Properties
The total DFT energy (no corrections) comes out at -12.62 eV/cell. The calculated density is 8.060 Mg/m³. As for the energy above the lowest structure with this stoichiometry: 0.000 eV per atom. The energy of formation is -0.492 eV per atom. Its calculated volume is 25.2 A^3/atom.

The structure in CIF format:
```
data_PmMgSnHg
_chemical_formula_sum 'Pm1 Mg1 Sn1 Hg1'
_cell_length_a 4.3771
_cell_length_b 4.6624
_cell_length_c 4.9329
_cell_angle_alpha 90.00
_cell_angle_beta 90.00
_cell_angle_gamma 90.00
_space_group_name_H-M_alt 'P m m m'
_space_group_IT_number 47
_space_group_name_Hall '-P 2 2'
loop_
_atom_site_label
_atom_site_type_symbol
_atom_site_fract_x
_atom_site_fract_y
_atom_site_fract_z
Pm1 Pm 0.0000 0.0000 0.0000
Mg1 Mg 0.0000 0.5000 0.5000
Sn1 Sn 0.5000 0.5000 0.0000
Hg1 Hg 0.5000 0.0000 0.5000
```

[13]
## PmMgSnHg (PBE-GGA)

Data for PmMgSnHg after structural relaxation.

## Properties
The total DFT energy (no corrections) comes out at -49.17 eV/cell. The calculated density is 7.981 Mg/m³. As for the energy above the lowest structure with this stoichiometry: 0.081 eV per atom. The energy of formation is -0.411 eV per atom. Its calculated volume is 25.4 A^3/atom.

The structure in CIF format:
```
data_PmMgSnHg
_chemical_formula_sum 'Pm4 Mg4 Sn4 Hg4'
_cell_length_a 7.4086
_cell_length_b 7.4086
_cell_length_c 7.4086
_cell_angle_alpha 90.00
_cell_angle_beta 90.00
_cell_angle_gamma 90.00
_space_group_name_H-M_alt 'F -4 3 m'
_space_group_IT_number 216
_space_group_name_Hall 'F -4 2 3'
loop_
_atom_site_label
_atom_site_type_symbol
_atom_site_fract_x
_atom_site_fract_y
_atom_site_fract_z
Pm1 Pm 0.0000 0.0000 0.0000
Mg1 Mg 0.0000 0.0000 0.5000
Sn1 Sn 0.2500 0.2500 0.7500
Hg1 Hg 0.2500 0.2500 0.2500
```